# 1
DFT (PBE) results for ErUTe4 after structural relaxation.

Computed properties:
- Final energy: -65.1 eV per cell
- Formation energy from raw total energies: -0.691 eV/atom
- Energy relative to the lowest polymorph listed for this composition: 0.229 eV/atom
- Total magnetization: 0.175 μB/atom

Cell lengths 7.5013, 7.4789, 7.4175 Å; angles 90.00, 90.46, 90.00 degrees
Space group P2_1/c (No. 14)
One atom of each set of equivalent atoms:
Er1 0.0000 0.0000 0.0000
U1 0.5000 0.0000 0.5000
Te1 0.1561 0.1480 0.3546
Te2 0.3462 0.6572 0.3433

# 2
DFT (PBE) results for ErUTe2 after structural relaxation.

Computed properties:
- Final energy: -71.0 eV per cell
- Formation energy from raw total energies: -0.384 eV/atom
- Total magnetization: 0.755 μB/atom

Cell lengths 3.9928, 3.9928, 30.1585 Å; angles 90.00, 90.00, 120.00 degrees
Space group R-3m (No. 166, hexagonal axes)
One atom of each set of equivalent atoms:
Er1 0.0000 0.0000 0.0000
U1 0.0000 0.0000 0.5000
Te1 0.0000 0.0000 0.0992